An optimized crystal structure of Rb2VAu. Source: Alexandria via LeMat-Bulk, functional PBE-GGA.

Calculated values
density of states at the Fermi level = 1.61 states/eV/atom
E_tot = -2.9959 eV per atom
energy above the most stable polymorph in this dataset = 0 meV/atom
symmetry = I-42d (122)
energy of formation from the pure elements = 587 meV per atom

Cell and atoms, written as CIF:
```
data_Rb2VAu
_space_group_name_H-M_alt 'P 1'
_space_group_IT_number 1
_space_group_name_Hall 'P 1'
_cell_length_a 12.792
_cell_length_b 12.792
_cell_length_c 9.405
_cell_angle_alpha 47.15
_cell_angle_beta 47.15
_cell_angle_gamma 90.00
loop_
_atom_site_label
_atom_site_type_symbol
_atom_site_fract_x
_atom_site_fract_y
_atom_site_fract_z
Au1 Au 0.000 0.000 0.000
Au2 Au 0.750 0.250 0.500
Rb1 Rb 0.789 0.125 0.250
Rb2 Rb 0.961 0.625 0.250
Rb3 Rb 0.375 0.211 0.750
Rb4 Rb 0.875 0.039 0.750
V1 V 0.500 0.500 0.000
V2 V 0.250 0.750 0.500
```